GaGe3F: optimized geometry, PBE-GGA.

Cell: 4.6295 4.6295 4.6295 Å, 90.00 90.00 90.00°
With the nearest neighbours (Å) after each atom.
Atoms (fractional coordinates):
Ge: 0.5000 0.0000 0.0000  2 F 2.31
Ge: 0.0000 0.0000 0.5000  2 F 2.31
F: 0.0000 0.0000 0.0000  6 Ge 2.31
Ga: 0.5000 0.5000 0.5000  12 Ge 3.27
Ge: 0.0000 0.5000 0.0000  2 F 2.31

Output
Spin magnetization = 0.0 μB per cell
DOS(E_F) = 2.9 states/eV/f.u.
E = -3.7065 eV per atom

=====

AgMo2P: optimized geometry, PBE-GGA.

Cell: 5.0321 5.0321 2.7656 Å, 81.70 81.70 113.73°
With the nearest neighbours (Å) after each atom.
Atoms (fractional coordinates):
Mo: 0.5000 0.0000 0.0000  2 Ag 2.69, 2 P 2.69, 4 Mo 2.75-2.77
Ag: 0.5000 0.5000 0.5000  4 Mo 2.69, 2 P 2.75, 2 Ag 2.77
P: 0.0000 0.0000 0.5000  4 Mo 2.69, 2 Ag 2.75, 2 P 2.77
Mo: 0.0000 0.5000 0.0000  2 P 2.69, 2 Ag 2.69, 4 Mo 2.75-2.77

Output
Spin magnetization = 0.0 μB per cell
DOS(E_F) = 2.7 states/eV/f.u.
Formation energy from the elements = 10.5 kcal/mol of atoms
E = -7.0255 eV per atom

=====

LiPrThSc: optimized geometry, PBE-GGA.

Cell: 5.4132 5.4132 5.4132 Å, 60.00 60.00 60.00°
With the nearest neighbours (Å) after each atom.
Atoms (fractional coordinates):
Sc: 0.5000 0.5000 0.5000  4 Th 3.31, 4 Pr 3.31
Th: 0.7500 0.7500 0.7500  4 Li 3.31, 4 Sc 3.31
Li: 0.0000 0.0000 0.0000  4 Th 3.31, 4 Pr 3.31
Pr: 0.2500 0.2500 0.2500  4 Sc 3.31, 4 Li 3.31

Output
Spin magnetization = 0.0 μB per cell
DOS(E_F) = 4.6 states/eV/f.u.
Formation energy from the elements = 4.4 kcal/mol of atoms
E = -4.9218 eV per atom

=====

Ac4YHo3Bi8: optimized geometry, PBE-GGA.

Cell: 9.3607 9.3427 9.3607 Å, 120.06 120.00 90.00°
With the nearest neighbours (Å) after each atom.
Atoms (fractional coordinates):
Ho: 0.5000 0.5000 0.0000  6 Bi 3.20
Ac: 0.0000 0.0000 0.0000  6 Bi 3.42
Bi: 0.2425 0.7264 0.9839  2 Ho 3.20, 1 Y 3.21, 3 Ac 3.41-3.42
Bi: 0.7414 0.7264 0.9839  2 Ho 3.20, 1 Y 3.21, 3 Ac 3.41-3.42
Ac: 0.5000 0.0000 0.0000  6 Bi 3.41
Ac: 0.0000 0.0000 0.5000  6 Bi 3.42
Bi: 0.7419 0.7258 0.4839  3 Ho 3.20, 3 Ac 3.42
Bi: 0.2586 0.2736 0.0161  2 Ho 3.20, 1 Y 3.21, 3 Ac 3.41-3.42
Ho: 0.0000 0.5000 0.5000  6 Bi 3.20
Bi: 0.7574 0.2736 0.5149  2 Ho 3.20, 1 Y 3.21, 3 Ac 3.41-3.42
Bi: 0.7575 0.2736 0.0161  2 Ho 3.20, 1 Y 3.21, 3 Ac 3.41-3.42
Y: 0.0000 0.5000 0.0000  6 Bi 3.21
Ho: 0.5000 0.5000 0.5000  6 Bi 3.20
Bi: 0.2426 0.7264 0.4851  2 Ho 3.20, 1 Y 3.21, 3 Ac 3.41-3.42
Bi: 0.2581 0.2742 0.5161  3 Ho 3.20, 3 Ac 3.42
Ac: 0.5000 0.0000 0.5000  6 Bi 3.42

Output
Spin magnetization = 0.0 μB per cell
DOS(E_F) = 3.2 states/eV/f.u.
Formation energy from the elements = -21.0 kcal/mol of atoms
E = -5.1400 eV per atom

=====

ZnCdO2: optimized geometry, PBE-GGA.

Cell: 5.4729 3.1461 6.1997 Å, 86.53 90.00 90.01°
With the nearest neighbours (Å) after each atom.
Atoms (fractional coordinates):
Zn: 0.0738 0.0641 0.1655  4 O 1.99-2.05
O: 0.9351 0.5885 0.9951  3 Zn 2.01-2.05
O: 0.4351 0.1791 0.1503  3 Zn 2.01-2.05
O: 0.9317 0.9291 0.4564  1 Zn 1.99
O: 0.4317 0.8377 0.6889  1 Zn 1.99
Cd: 0.6117 0.3973 0.4568  5 O 2.27-2.42
Cd: 0.1116 0.3693 0.6887  5 O 2.28-2.42
Zn: 0.5738 0.7039 0.9798  4 O 1.99-2.05

Output
Spin magnetization = 0.0 μB per cell
DOS(E_F) = 0.0 states/eV/f.u.
E = -4.1705 eV per atom

=====

TaCoNi2: optimized geometry, PBE-GGA.

Cell: 3.1077 3.1077 5.2192 Å, 90.00 90.00 90.00°
With the nearest neighbours (Å) after each atom.
Atoms (fractional coordinates):
Co: 0.5000 0.5000 0.7537  6 Ni 2.52-2.70, 4 Ta 2.55
Ni: 0.5000 0.5000 0.2359  4 Ni 2.51, 2 Co 2.52-2.70, 4 Ta 2.61
Ta: 0.0000 0.0000 0.5057  4 Co 2.55, 6 Ni 2.60-2.61
Ni: 0.0000 0.0000 0.0047  4 Ni 2.51, 4 Co 2.56, 2 Ta 2.60-2.61

Output
Spin magnetization = 0.0 μB per cell
DOS(E_F) = 5.4 states/eV/f.u.
Formation energy from the elements = -3.2 kcal/mol of atoms
E = -7.7680 eV per atom